DFT (PBE with a Hubbard U) results for a relaxed NpTiFeO6 crystal.

Unit cell a=4.8318 b=4.8318 c=9.4267 alpha=90.00 beta=90.00 gamma=90.00
With the nearest neighbours (Å) after each atom.
Positions (direct):
Np 0.0000 0.0000 0.0000  6 O 2.07-2.09
Np 0.5000 0.5000 0.5000  6 O 2.07-2.09
Ti 0.0000 0.0000 0.6616  6 O 1.97-2.00
Ti 0.5000 0.5000 0.1616  6 O 1.97-2.00
Fe 0.0000 0.0000 0.3298  6 O 2.14-2.15
Fe 0.5000 0.5000 0.8298  6 O 2.14-2.15
O 0.1874 0.1874 0.8248  1 Ti 2.00, 1 Np 2.09, 1 Fe 2.14
O 0.1952 0.1952 0.5086  1 Ti 1.97, 1 Np 2.08, 1 Fe 2.15
O 0.2085 0.2085 0.1593  1 Ti 1.99, 1 Np 2.07, 1 Fe 2.15
O 0.2915 0.7085 0.6593  1 Ti 1.99, 1 Np 2.07, 1 Fe 2.15
O 0.3048 0.6952 0.0086  1 Ti 1.97, 1 Np 2.08, 1 Fe 2.15
O 0.3126 0.6874 0.3248  1 Ti 2.00, 1 Np 2.09, 1 Fe 2.14
O 0.6874 0.3126 0.3248  1 Ti 2.00, 1 Np 2.09, 1 Fe 2.14
O 0.6952 0.3048 0.0086  1 Ti 1.97, 1 Np 2.08, 1 Fe 2.15
O 0.7085 0.2915 0.6593  1 Ti 1.99, 1 Np 2.07, 1 Fe 2.15
O 0.7915 0.7915 0.1593  1 Ti 1.99, 1 Np 2.07, 1 Fe 2.15
O 0.8048 0.8048 0.5086  1 Ti 1.97, 1 Np 2.08, 1 Fe 2.15
O 0.8126 0.8126 0.8248  1 Ti 2.00, 1 Np 2.09, 1 Fe 2.14

Its density is 6.6 g cm⁻³. The calculation puts the total energy at -158.30 eV per cell.